A plane-wave DFT calculation with meta-GGA SCAN was carried out for a crystal of Sb4Te7P relaxed with PBEsol.

formation energy (no corrections): 0.0062 eV/atom

Cell: 4.2915 4.2915 22.3636 Å, 90.00 90.00 120.00°
Space group P-3m1 (No. 164)
Unique sites:
Sb1 0.3333 0.6667 0.1502
Sb2 0.3333 0.6667 0.4133
Te1 0.0000 0.0000 0.2257
Te2 0.0000 0.0000 0.5000
Te3 0.3333 0.6667 0.6632
Te4 0.3333 0.6667 0.9352
P1 0.0000 0.0000 0.0000